SrCa3 | the Alexandria database | PBEsol | relaxed; SG = Pm-3m, No. 221; energy above the lowest structure with this stoichiometry = 0.001 eV per atom; magnetic moment = 0.00 Bohr magnetons per cell; formation energy = 0.0119 eV/atom; N(E_F) = 5.14 states/eV per cell
1.0
5.565 0.000 0.000
0.000 5.565 0.000
0.000 0.000 5.565
Ca Sr
3 1
Direct
0.500 0.000 0.500
0.000 0.500 0.500
0.500 0.500 0.000
0.000 0.000 0.000

***

YTl2Pb | the Alexandria database | PBEsol | relaxed; SG = Cmmm, No. 65; magnetic moment = 0.00 Bohr magnetons per cell; formation energy = -0.2445 eV/atom; N(E_F) = 2.47 states/eV per cell
1.0
3.637 0.000 0.000
0.000 5.578 0.022
0.000 -1.774 5.288
Pb Tl Y
1 2 1
Direct
0.500 0.500 0.500
0.000 0.000 0.500
0.000 0.500 0.000
0.500 0.000 0.000

***

ZrCdSn3 | the Alexandria database | PBEsol | relaxed; SG = Pm-3m, No. 221; magnetic moment = 0.01 Bohr magnetons per cell; formation energy = 0.8532 eV/atom; N(E_F) = 5.11 states/eV per cell
1.0
5.276 0.000 0.000
0.000 5.276 0.000
0.000 0.000 5.276
Sn Zr Cd
3 1 1
Direct
0.000 0.000 0.500
0.500 0.000 0.000
0.000 0.500 0.000
0.500 0.500 0.500
0.000 0.000 0.000

***

Li2CuNi | the Alexandria database | PBEsol | relaxed; SG = P4mm, No. 99; energy above the lowest structure with this stoichiometry = 0.034 eV per atom; magnetic moment = 0.00 Bohr magnetons per cell; formation energy = 0.0492 eV/atom; N(E_F) = 2.78 states/eV per cell
1.0
-0.995 -0.400 -2.293
0.801 -2.400 0.072
-6.808 -2.171 3.333
Cu Li Ni
1 2 1
Direct
0.500 0.500 0.728
0.000 0.000 0.967
0.500 0.500 0.289
0.000 0.000 0.516

***

NiHg2P | the Alexandria database | PBEsol | relaxed; SG = P4mm, No. 99; magnetic moment = 0.00 Bohr magnetons per cell; formation energy = 0.0082 eV/atom; N(E_F) = 2.31 states/eV per cell
1.0
-0.770 -1.945 1.946
2.656 0.004 1.055
-2.231 6.483 5.597
Ni P Hg
1 1 2
Direct
0.000 0.000 0.545
0.500 0.500 0.667
0.500 0.500 0.303
0.000 0.000 0.985

***

Te2Pd2Pt | the Alexandria database | PBEsol | relaxed; SG = Ibam, No. 72; formation energy (no corrections) = -0.305 eV per atom; magnetic moment = 0.00 Bohr magnetons per cell; N(E_F) = 6.92 states/eV per cell
1.0
-4.507 -1.295 2.789
0.424 -6.077 -2.138
5.118 2.367 4.034
Te Pt Pd
4 2 4
Direct
0.847 0.093 0.695
0.653 0.398 0.305
0.347 0.602 0.695
0.153 0.907 0.305
0.250 0.000 0.000
0.750 0.000 0.000
0.606 0.747 0.213
0.106 0.465 0.213
0.894 0.535 0.787
0.394 0.253 0.787

***

Re2OsRh | the Alexandria database | PBEsol | relaxed; SG = P4/mmm, No. 123; energy above the lowest structure with this stoichiometry = 0.578 eV per atom; magnetic moment = 0.00 Bohr magnetons per cell; formation energy = 0.4247 eV/atom; N(E_F) = 3.77 states/eV per cell
1.0
3.247 0.000 0.000
0.000 3.247 0.000
0.000 0.000 5.473
Rh Re Os
1 2 1
Direct
0.500 0.500 0.000
0.000 0.000 0.239
0.000 0.000 0.761
0.500 0.500 0.500

***

ScRhAu2 | the Alexandria database | PBEsol | relaxed; SG = I-4m2, No. 119; magnetic moment = 0.00 Bohr magnetons per cell; formation energy = -0.6448 eV/atom; N(E_F) = 1.71 states/eV per cell
1.0
4.041 0.000 0.000
0.000 4.041 0.000
-2.020 -2.020 3.987
Rh Sc Au
1 1 2
Direct
0.500 0.500 0.000
0.750 0.250 0.500
0.250 0.750 0.500
0.000 0.000 0.000

***

Cd2FeICl | the Alexandria database | PBEsol | relaxed; SG = P4/mmm, No. 123; formation energy (no corrections) = 0.502 eV per atom; magnetic moment = 2.80 Bohr magnetons per cell; N(E_F) = 4.49 states/eV per cell
1.0
4.137 0.000 0.000
0.000 5.688 0.000
0.000 0.000 5.688
Cd Cl I Fe
2 1 1 1
Direct
0.000 0.000 0.500
0.000 0.500 0.000
0.000 0.000 0.000
0.500 0.500 0.500
0.500 0.000 0.000

***

RbSnSeBr2 | the Alexandria database | PBEsol | relaxed; SG = P4/mmm, No. 123; formation energy (no corrections) = 0.187 eV per atom; energy above the lowest structure with this stoichiometry = 1.059 eV per atom; magnetic moment = 0.00 Bohr magnetons per cell; N(E_F) = 4.12 states/eV per cell
1.0
5.610 0.000 0.000
0.000 5.842 0.000
0.000 0.000 5.842
Sn Rb Se Br
1 1 1 2
Direct
0.500 0.500 0.500
0.000 0.000 0.000
0.500 0.000 0.000
0.000 0.500 0.000
0.000 0.000 0.500

***

Ba2ZnAg2 | the Alexandria database | PBEsol | relaxed; SG = P4/mbm, No. 127; magnetic moment = 0.00 Bohr magnetons per cell; formation energy = -0.1026 eV/atom; N(E_F) = 5.82 states/eV per cell
1.0
-0.341 -0.447 4.588
1.714 -7.830 -0.635
7.834 1.654 0.743
Ba Ag Zn
4 4 2
Direct
0.500 0.819 0.319
0.500 0.319 0.181
0.500 0.681 0.819
0.500 0.181 0.681
0.000 0.122 0.378
0.000 0.378 0.878
0.000 0.878 0.622
0.000 0.622 0.122
0.000 0.000 0.000
0.000 0.500 0.500

***

Ta2TcIrS | the Alexandria database | PBEsol | relaxed; SG = P4/mmm, No. 123; formation energy (no corrections) = 1.513 eV per atom; magnetic moment = 0.65 Bohr magnetons per cell; N(E_F) = 5.09 states/eV per cell
1.0
-2.798 -0.252 3.689
0.825 -4.724 0.303
3.742 0.839 2.896
Ta Ir Tc S
2 1 1 1
Direct
0.000 0.500 0.000
0.000 0.000 0.500
0.000 0.000 0.000
0.500 0.000 0.000
0.500 0.500 0.500

***

NdMnPO | the Alexandria database | PBEsol | relaxed; SG = P4/nmm, No. 129; formation energy (no corrections) = -1.886 eV per atom; magnetic moment = 2.61 Bohr magnetons per cell; N(E_F) = 4.53 states/eV per cell
1.0
3.900 0.000 0.000
0.000 3.900 0.000
0.000 0.000 8.207
Mn Nd O P
2 2 2 2
Direct
0.000 0.000 0.500
0.500 0.500 0.500
0.000 0.500 0.148
0.500 0.000 0.852
0.500 0.500 0.000
0.000 0.000 0.000
0.000 0.500 0.634
0.500 0.000 0.366

***

TaMnFe | the Alexandria database | PBEsol | relaxed; SG = I4mm, No. 107; energy above the lowest structure with this stoichiometry = 0.000 eV per atom; magnetic moment = 0.01 Bohr magnetons per cell; formation energy = 0.0486 eV/atom; N(E_F) = 3.67 states/eV per cell
1.0
2.637 0.382 0.000
-0.378 2.637 0.000
-1.130 -1.510 5.340
Mn Fe Ta
1 1 1
Direct
0.356 0.356 0.711
0.978 0.978 0.957
0.666 0.666 0.332

***

DyB4Ru4 | the Alexandria database | PBEsol | relaxed; SG = I4_1/acd, No. 142; magnetic moment = 0.00 Bohr magnetons per cell; formation energy = -0.5251 eV/atom; N(E_F) = 29.78 states/eV per cell
1.0
7.403 0.000 0.000
0.000 7.403 0.000
-3.701 -3.701 7.446
Ru Dy B
16 4 16
Direct
0.678 0.414 0.124
0.664 0.196 0.624
0.304 0.836 0.376
0.804 0.041 0.376
0.586 0.554 0.876
0.291 0.322 0.876
0.959 0.428 0.624
0.164 0.928 0.624
0.446 0.709 0.124
0.072 0.541 0.376
0.459 0.696 0.624
0.946 0.914 0.124
0.086 0.822 0.876
0.791 0.054 0.876
0.178 0.209 0.124
0.572 0.336 0.376
0.000 0.500 0.000
0.750 0.750 0.500
0.500 0.000 0.000
0.250 0.250 0.500
0.836 0.310 0.337
0.277 0.586 0.837
0.473 0.999 0.663
0.336 0.527 0.337
0.414 0.440 0.163
0.001 0.810 0.337
0.749 0.723 0.163
0.777 0.751 0.837
0.060 0.086 0.837
0.560 0.251 0.837
0.501 0.027 0.337
0.190 0.664 0.663
0.973 0.164 0.663
0.690 0.499 0.663
0.249 0.940 0.163
0.914 0.223 0.163

***

Sn2Rh | the Alexandria database | PBEsol | relaxed; SG = I4/mcm, No. 140; magnetic moment = 0.00 Bohr magnetons per cell; formation energy = -0.4412 eV/atom; N(E_F) = 2.00 states/eV per cell
1.0
5.333 0.008 0.000
-2.334 4.795 0.000
-1.499 -2.401 4.519
Sn Rh
4 2
Direct
0.662 0.162 0.824
0.162 0.338 0.500
0.338 0.838 0.176
0.838 0.662 0.500
0.750 0.750 0.000
0.250 0.250 0.000

***

KIrRh2C | the Alexandria database | PBEsol | relaxed; SG = P4/mmm, No. 123; magnetic moment = 0.26 Bohr magnetons per cell; formation energy = 1.1134 eV/atom; N(E_F) = 6.27 states/eV per cell
1.0
3.966 0.000 0.000
0.000 3.966 0.000
0.000 0.000 4.748
K Rh Ir C
1 2 1 1
Direct
0.000 0.000 0.500
0.500 0.000 0.000
0.000 0.500 0.000
0.500 0.500 0.500
0.000 0.000 0.000

***

LiMg | the Alexandria database | PBEsol | relaxed; SG = Cm, No. 8; magnetic moment = 0.00 Bohr magnetons per cell; formation energy = -0.0544 eV/atom; N(E_F) = 2.43 states/eV per cell
1.0
-3.120 1.098 -0.516
-0.377 -4.439 3.687
1.322 5.498 3.705
Mg Li
3 3
Direct
0.019 0.037 0.552
0.700 0.401 0.383
0.697 0.394 0.899
0.361 0.722 0.730
0.022 0.044 0.052
0.367 0.734 0.217

***

Bi2TeSe2 | the Alexandria database | PBEsol | relaxed; SG = R-3m, No. 166; formation energy (no corrections) = -0.303 eV per atom; magnetic moment = 0.00 Bohr magnetons per cell
1.0
4.221 0.000 0.000
2.111 3.656 0.000
2.111 1.219 9.684
Te Bi Se
1 2 2
Direct
0.000 0.000 0.000
0.406 0.406 0.783
0.594 0.594 0.217
0.791 0.791 0.626
0.209 0.209 0.374

***

KTa2Si | the Alexandria database | PBEsol | relaxed; SG = Cmmm, No. 65; formation energy (no corrections) = 0.528 eV per atom; magnetic moment = 0.00 Bohr magnetons per cell; N(E_F) = 3.46 states/eV per cell
1.0
2.841 0.049 0.000
-0.763 2.737 0.000
0.000 0.000 10.261
Ta Si K
2 1 1
Direct
0.000 0.000 0.186
0.000 0.000 0.814
0.500 0.500 0.000
0.500 0.500 0.500

***

BaHf3Os | the Alexandria database | PBEsol | relaxed; SG = Pm-3m, No. 221; magnetic moment = 0.00 Bohr magnetons per cell; formation energy = 0.3300 eV/atom; N(E_F) = 6.09 states/eV per cell
1.0
5.117 0.000 0.000
0.000 5.117 0.000
0.000 0.000 5.117
Os Hf Ba
1 3 1
Direct
0.000 0.000 0.000
0.500 0.000 0.000
0.000 0.000 0.500
0.000 0.500 0.000
0.500 0.500 0.500

***

LaCoPt2 | the Alexandria database | PBEsol | relaxed; SG = P4mm, No. 99; magnetic moment = 1.97 Bohr magnetons per cell; formation energy = -0.1818 eV/atom; N(E_F) = 4.71 states/eV per cell
1.0
3.441 0.000 0.000
0.000 3.441 0.000
0.000 0.000 6.173
Pt Co La
2 1 1
Direct
0.000 0.000 0.024
0.500 0.500 0.291
0.000 0.000 0.426
0.500 0.500 0.759

***

ScNbCu2Ir | the Alexandria database | PBEsol | relaxed; SG = P4/mmm, No. 123; magnetic moment = 0.00 Bohr magnetons per cell; formation energy = 0.9360 eV/atom; N(E_F) = 4.73 states/eV per cell
1.0
-1.008 0.954 4.406
-1.530 -4.319 0.585
4.304 -1.352 1.278
Cu Nb Ir Sc
2 1 1 1
Direct
0.500 0.000 0.000
0.000 0.500 0.000
0.000 0.000 0.000
0.000 0.000 0.500
0.500 0.500 0.500

***

CuTe2Mo | the Alexandria database | PBEsol | relaxed; SG = Imm2, No. 44; formation energy (no corrections) = 0.102 eV per atom; energy above the lowest structure with this stoichiometry = 0.000 eV per atom; magnetic moment = 0.00 Bohr magnetons per cell; N(E_F) = 2.16 states/eV per cell
1.0
-0.510 -3.100 1.504
0.533 -1.659 -3.239
6.677 1.925 2.201
Te Mo Cu
2 1 1
Direct
0.014 0.014 0.028
0.267 0.767 0.535
0.675 0.175 0.350
0.544 0.544 0.087

***

NaSmF4 | the Alexandria database | PBEsol | relaxed; SG = P1, No. 1; formation energy (no corrections) = -3.722 eV per atom; magnetic moment = 0.02 Bohr magnetons per cell; N(E_F) = 0.00 states/eV per cell
1.0
6.027 -0.002 -0.003
2.999 6.328 0.000
3.003 2.202 5.937
F Na Sm
12 3 3
Direct
0.593 0.707 0.656
0.980 0.381 0.882
0.361 0.545 0.501
0.596 0.164 0.195
0.276 0.131 0.624
0.757 0.244 0.744
0.755 0.736 0.232
0.254 0.626 0.131
0.040 0.280 0.317
0.977 0.889 0.383
0.050 0.821 0.771
0.364 0.007 0.034
0.331 0.428 0.906
0.664 0.002 0.682
0.665 0.481 0.170
0.998 0.501 0.504
0.003 0.000 0.998
0.336 0.921 0.409

***

CoNiHg | the Alexandria database | PBEsol | relaxed; SG = I4mm, No. 107; magnetic moment = 2.00 Bohr magnetons per cell; formation energy = 0.2784 eV/atom; N(E_F) = 3.98 states/eV per cell
1.0
-1.306 1.245 2.147
-1.463 -2.346 0.471
5.081 -1.109 1.904
Co Ni Hg
1 1 1
Direct
0.020 0.020 0.039
0.648 0.648 0.296
0.332 0.332 0.665